Computed, not measured: a relaxed structure of BiMoAs at the PBE level of DFT.

Computed properties:
Its crystal system is tetragonal. The calculated total energy comes out at -75.3 eV per cell. Its energy relative to the elements is 0.18 eV per atom.

The structure in CIF format:
```
data_BiMoAs
_chemical_formula_sum 'Bi4 Mo4 As4'
_symmetry_space_group_name_H-M 'P 42/m'
_symmetry_Int_Tables_number 84
_symmetry_space_group_name_Hall '-P 4c'
_cell_length_a 9.436
_cell_length_b 9.436
_cell_length_c 3.333
_cell_angle_alpha 90.00
_cell_angle_beta 90.00
_cell_angle_gamma 90.00
loop_
_atom_site_label
_atom_site_fract_x
_atom_site_fract_y
_atom_site_fract_z
_atom_site_occupancy
Bi1 0.030 0.727 0.000 1
Mo1 0.269 0.270 0.000 1
As1 0.271 0.463 0.500 1
```